Record 1
## LiY4Pd7 (GGA-PBE)

Data for crystalline LiY4Pd7 at its relaxed geometry.

Cell lengths 4.600, 8.336, 7.298 Å; angles 67.90, 71.63, 73.99 degrees
Sites, in units of the cell vectors:
Pd: 0.500 0.000 0.000
Pd: 0.089 0.682 0.139
Pd: 0.911 0.318 0.861
Pd: 0.819 0.992 0.371
Pd: 0.181 0.008 0.629
Pd: 0.326 0.536 0.812
Pd: 0.674 0.464 0.188
Li: 0.000 0.000 0.000
Y: 0.436 0.740 0.387
Y: 0.564 0.260 0.613
Y: 0.725 0.750 0.801
Y: 0.275 0.250 0.199

**E_tot**: -6.034 eV/atom
**ΔE_f**: -0.691 eV/atom
**Magnetic moment**: 0.000 μB/f.u.
**Space group**: No. 12
**Crystal system**: monoclinic

Record 2
## Li2YPd2 (GGA-PBE)

Data for crystalline Li2YPd2 at its relaxed geometry.

Cell lengths 3.921, 6.719, 7.226 Å; angles 90.00, 90.00, 106.97 degrees
Sites, in units of the cell vectors:
Li: 0.669 0.338 0.444
Li: 0.861 0.721 0.725
Li: 0.139 0.279 0.225
Li: 0.331 0.662 0.944
Pd: 0.765 0.530 0.134
Pd: 0.031 0.062 0.548
Pd: 0.235 0.470 0.634
Pd: 0.969 0.938 0.048
Y: 0.402 0.805 0.353
Y: 0.598 0.195 0.853

**E_tot**: -4.656 eV/atom
**ΔE_f**: -0.520 eV/atom
**Distance to the lowest polymorph of the same formula**: 55 meV per atom
**Magnetic moment**: 0.000 μB/f.u.
**Space group**: No. 36
**Crystal system**: orthorhombic

Record 3
## Li2Y2Pd3 (GGA-PBE)

Data for crystalline Li2Y2Pd3 at its relaxed geometry.

Cell lengths 4.850, 4.848, 7.534 Å; angles 90.03, 108.78, 119.98 degrees
Sites, in units of the cell vectors:
Li: 0.736 0.868 0.604
Li: 0.264 0.132 0.396
Y: 0.220 0.610 0.830
Y: 0.780 0.390 0.170
Pd: 0.000 0.000 0.000
Pd: 0.508 0.254 0.762
Pd: 0.492 0.746 0.238

**E_tot**: -5.235 eV/atom
**ΔE_f**: -0.616 eV/atom
**Magnetic moment**: 0.000 μB/f.u.
**Space group**: No. 166
**Crystal system**: trigonal

Record 4
## Li2YPd2 (GGA-PBE)

Data for crystalline Li2YPd2 at its relaxed geometry.

Cell lengths 7.312, 7.312, 3.124 Å; angles 90.00, 90.00, 90.00 degrees
Sites, in units of the cell vectors:
Li: 0.888 0.612 0.000
Li: 0.388 0.888 0.000
Li: 0.612 0.112 0.000
Li: 0.112 0.388 0.000
Pd: 0.683 0.817 0.500
Pd: 0.317 0.183 0.500
Pd: 0.183 0.683 0.500
Pd: 0.817 0.317 0.500
Y: 0.500 0.500 0.000
Y: 0.000 0.000 0.000

**E_tot**: -4.628 eV/atom
**ΔE_f**: -0.493 eV/atom
**Distance to the lowest polymorph of the same formula**: 82 meV per atom
**Magnetic moment**: 0.000 μB/f.u.
**Space group**: No. 127
**Crystal system**: tetragonal

Record 5
## LiYPd (GGA-PBE)

Data for crystalline LiYPd at its relaxed geometry.

Cell lengths 3.571, 3.571, 5.334 Å; angles 109.56, 109.56, 90.00 degrees
Sites, in units of the cell vectors:
Y: 0.937 0.937 0.875
Pd: 0.275 0.275 0.550
Li: 0.638 0.638 0.275

**E_tot**: -4.999 eV/atom
**ΔE_f**: -0.476 eV/atom
**Distance to the lowest polymorph of the same formula**: 120 meV per atom
**Magnetic moment**: 0.000 μB/f.u.
**Space group**: No. 107
**Crystal system**: tetragonal

Record 6
## Li7YPd4 (GGA-PBE)

Data for crystalline Li7YPd4 at its relaxed geometry.

Cell lengths 4.944, 8.599, 5.554 Å; angles 77.60, 63.57, 73.29 degrees
Sites, in units of the cell vectors:
Li: 0.500 0.000 0.000
Li: 0.878 0.429 0.814
Li: 0.357 0.621 0.664
Li: 0.122 0.571 0.186
Li: 0.183 0.222 0.413
Li: 0.643 0.379 0.336
Li: 0.817 0.778 0.587
Pd: 0.691 0.083 0.534
Pd: 0.394 0.309 0.902
Pd: 0.309 0.917 0.466
Pd: 0.606 0.691 0.098
Y: 0.000 0.000 0.000

**E_tot**: -3.622 eV/atom
**ΔE_f**: -0.236 eV/atom
**Magnetic moment**: 0.000 μB/f.u.
**Space group**: No. 12
**Crystal system**: monoclinic

Record 7
## Li2YPd3 (GGA-PBE)

Data for crystalline Li2YPd3 at its relaxed geometry.

Cell lengths 4.398, 6.952, 6.799 Å; angles 90.00, 90.01, 71.44 degrees
Sites, in units of the cell vectors:
Li: 0.000 0.000 0.000
Li: 0.671 0.658 0.500
Li: 0.329 0.342 0.500
Li: 0.000 0.000 0.500
Y: 0.654 0.693 0.000
Y: 0.346 0.307 0.000
Pd: 0.500 0.000 0.714
Pd: 0.164 0.672 0.275
Pd: 0.835 0.328 0.275
Pd: 0.165 0.672 0.725
Pd: 0.500 0.000 0.286
Pd: 0.836 0.328 0.725

**E_tot**: -4.918 eV/atom
**ΔE_f**: -0.606 eV/atom
**Distance to the lowest polymorph of the same formula**: 0 meV per atom
**Magnetic moment**: 0.000 μB/f.u.
**Space group**: No. 10
**Crystal system**: monoclinic

Record 8
## Li2YPd2 (GGA-PBE)

Data for crystalline Li2YPd2 at its relaxed geometry.

Cell lengths 3.881, 3.881, 5.970 Å; angles 90.00, 90.00, 90.00 degrees
Sites, in units of the cell vectors:
Pd: 0.500 0.500 0.225
Pd: 0.500 0.500 0.775
Li: 0.000 0.500 0.500
Li: 0.500 0.000 0.500
Y: 0.000 0.000 0.000

**E_tot**: -4.710 eV/atom
**ΔE_f**: -0.575 eV/atom
**Distance to the lowest polymorph of the same formula**: 0 meV per atom
**Magnetic moment**: 0.000 μB/f.u.
**Space group**: No. 123
**Crystal system**: tetragonal

Which value of magnetic moment does entry 4 give?
0.000 μB/f.u.